No. 1
DFT (PBE) results for a relaxed structure of ZrBe2Cr.

Geometry as extended XYZ:
```
8
Lattice="3.880 0.000 0.000 0.000 3.880 0.000 1.940 1.940 7.815" Properties=species:S:1:pos:R:3 pbc="T T T"
Cr 1.940 1.940 0.000
Cr 1.940 3.880 3.908
Zr 0.000 0.000 0.000
Zr 3.880 1.940 3.908
Be 2.067 0.970 1.954
Be 1.813 2.910 1.954
Be 2.910 3.753 5.861
Be 4.849 4.006 5.861
```

Uncorrected energy, eV/atom: -5.805
Size of the total moment, μB/cell: 0.00
ΔE to the lowest computed polymorph, meV/atom: 563
DFT formation energy, meV/atom: 601
D(E_F), states/eV/f.u.: 0.6
SG: I-42d, No. 122

=====

No. 2
DFT (PBE) results for a relaxed structure of Zr2BeCr.

Geometry as extended XYZ:
```
8
Lattice="7.128 0.000 0.000 0.000 7.128 0.000 3.564 3.564 2.731" Properties=species:S:1:pos:R:3 pbc="T T T"
Cr 0.000 0.000 0.000
Cr 7.128 3.564 1.365
Zr 5.317 1.782 0.683
Zr 1.811 5.346 0.683
Zr 5.346 5.375 2.048
Zr 8.910 8.881 2.048
Be 3.564 3.564 0.000
Be 3.564 7.128 1.365
```

Uncorrected energy, eV/atom: -7.042
Size of the total moment, μB/cell: 1.90
DFT formation energy, meV/atom: 570
D(E_F), states/eV/f.u.: 3.1
SG: I-42d, No. 122

=====

No. 3
DFT (PBE) results for a relaxed structure of ZrBe2Cr.

Geometry as extended XYZ:
```
4
Lattice="-1.591 -3.739 1.409 2.560 -3.440 0.325 1.119 -1.489 3.876" Properties=species:S:1:pos:R:3 pbc="T T T"
Cr 1.044 -4.334 2.804
Zr 1.566 -6.501 4.207
Be 0.000 0.000 0.000
Be 0.522 -2.167 1.402
```

Uncorrected energy, eV/atom: -6.029
Size of the total moment, μB/cell: 3.96
ΔE to the lowest computed polymorph, meV/atom: 339
DFT formation energy, meV/atom: 377
D(E_F), states/eV/f.u.: 2.9
SG: F-43m, No. 216

=====

No. 4
DFT (PBE) results for a relaxed structure of Zr2Be9Cr.

Geometry as extended XYZ:
```
12
Lattice="-3.097 -0.985 -3.192 -2.780 -3.567 0.547 -6.740 2.720 2.449" Properties=species:S:1:pos:R:3 pbc="T T T"
Zr -7.847 -2.806 -1.273
Zr -4.771 0.975 1.077
Be -3.924 -3.030 -1.759
Be -8.694 1.198 1.564
Be -6.309 -0.916 -0.098
Be -4.022 -1.311 -0.564
Be -5.575 -1.805 -2.165
Be -5.417 -3.099 -0.290
Be -8.595 -0.521 0.369
Be -7.201 1.268 0.094
Be -7.042 -0.027 1.969
Cr 0.000 0.000 0.000
```

Uncorrected energy, eV/atom: -5.055
Size of the total moment, μB/cell: 0.00
DFT formation energy, meV/atom: -34
D(E_F), states/eV/f.u.: 4.4
SG: R-3m, No. 166

=====

No. 5
DFT (PBE) results for a relaxed structure of ZrBe2Cr.

Geometry as extended XYZ:
```
4
Lattice="-1.341 3.049 1.866 -3.045 0.069 -2.301 -1.753 -2.152 2.256" Properties=species:S:1:pos:R:3 pbc="T T T"
Cr -1.547 0.448 2.061
Zr -2.399 -1.042 -0.022
Be 0.000 0.000 0.000
Be -2.193 1.559 -0.217
```

Uncorrected energy, eV/atom: -6.212
Size of the total moment, μB/cell: 0.25
ΔE to the lowest computed polymorph, meV/atom: 156
DFT formation energy, meV/atom: 194
D(E_F), states/eV/f.u.: 3.1
SG: P4/mmm, No. 123

=====

No. 6
DFT (PBE) results for a relaxed structure of ZrBeCr3.

Geometry as extended XYZ:
```
5
Lattice="4.501 0.000 0.000 0.000 4.501 0.000 0.000 0.000 4.501" Properties=species:S:1:pos:R:3 pbc="T T T"
Cr 0.000 2.251 0.000
Cr 0.000 0.000 2.251
Cr 2.251 0.000 0.000
Zr 0.000 0.000 0.000
Be 2.251 2.251 2.251
```

Uncorrected energy, eV/atom: -5.928
Size of the total moment, μB/cell: 0.01
ΔE to the lowest computed polymorph, meV/atom: 1633
DFT formation energy, meV/atom: 2301
D(E_F), states/eV/f.u.: 7.8
SG: Pm-3m, No. 221

=====

No. 7
DFT (PBE) results for a relaxed structure of ZrBe2Cr.

Geometry as extended XYZ:
```
4
Lattice="3.330 0.000 0.000 0.000 2.694 0.000 0.000 2.710 5.641" Properties=species:S:1:pos:R:3 pbc="T T T"
Cr 1.665 1.351 1.410
Zr 1.665 4.053 4.231
Be 0.000 2.695 0.342
Be 0.000 2.701 2.479
```

Uncorrected energy, eV/atom: -6.368
Size of the total moment, μB/cell: 0.00
ΔE to the lowest computed polymorph, meV/atom: 0
DFT formation energy, meV/atom: 38
D(E_F), states/eV/f.u.: 1.8
SG: P2/m, No. 10

=====

No. 8
DFT (PBE) results for a relaxed structure of ZrBe2Cr.

Geometry as extended XYZ:
```
4
Lattice="-8.771 0.618 0.153 -8.520 -1.859 1.132 -8.343 0.250 2.768" Properties=species:S:1:pos:R:3 pbc="T T T"
Cr -13.147 -0.509 2.079
Zr -19.143 -0.741 3.027
Be -25.314 -0.979 4.002
Be -6.482 -0.251 1.025
```

Uncorrected energy, eV/atom: -5.823
Size of the total moment, μB/cell: 0.00
ΔE to the lowest computed polymorph, meV/atom: 545
DFT formation energy, meV/atom: 583
D(E_F), states/eV/f.u.: 2.7
SG: R3m, No. 160

=====

No. 9
DFT (PBE) results for a relaxed structure of CsBeCu2.

Geometry as extended XYZ:
```
8
Lattice="5.189 0.000 0.000 0.000 5.189 0.000 2.595 2.595 7.402" Properties=species:S:1:pos:R:3 pbc="T T T"
Cs 0.000 0.000 0.000
Cs 5.189 2.595 3.701
Be 2.595 2.595 0.000
Be 2.595 5.189 3.701
Cu 2.595 1.297 1.851
Cu 2.595 3.892 1.851
Cu 3.892 5.189 5.552
Cu 6.487 5.189 5.552
```

Uncorrected energy, eV/atom: -2.662
Size of the total moment, μB/cell: 0.00
DFT formation energy, meV/atom: 531
D(E_F), states/eV/f.u.: 1.8
SG: I4_1/amd, No. 141

=====

No. 10
DFT (PBE) results for a relaxed structure of Cs2BeCu.

Geometry as extended XYZ:
```
8
Lattice="7.078 -1.493 3.248 -3.908 6.704 1.630 -4.684 -5.708 2.890" Properties=species:S:1:pos:R:3 pbc="T T T"
Cs -0.604 -5.820 5.047
Cs -1.702 4.020 1.501
Cs 0.472 1.585 5.817
Cs -1.194 -0.778 3.171
Be 1.585 2.606 2.439
Be 1.990 -2.297 4.288
Cu 0.000 0.000 0.000
Cu -3.503 1.801 3.480
```

Uncorrected energy, eV/atom: -1.391
Size of the total moment, μB/cell: 0.05
ΔE to the lowest computed polymorph, meV/atom: 101
DFT formation energy, meV/atom: 991
D(E_F), states/eV/f.u.: 3.4
SG: I-42d, No. 122

=====

No. 11
DFT (PBE) results for a relaxed structure of Cs2BeCu.

Geometry as extended XYZ:
```
4
Lattice="0.000 4.369 4.369 4.369 0.000 4.369 4.369 4.369 0.000" Properties=species:S:1:pos:R:3 pbc="T T T"
Cs 2.184 2.184 2.184
Cs 6.553 6.553 6.553
Be 0.000 0.000 0.000
Cu 4.369 4.369 4.369
```

Uncorrected energy, eV/atom: -1.492
Size of the total moment, μB/cell: 0.00
ΔE to the lowest computed polymorph, meV/atom: 0
DFT formation energy, meV/atom: 890
D(E_F), states/eV/f.u.: 3.7
SG: Fm-3m, No. 225

=====

No. 12
DFT (PBE) results for a relaxed structure of Cs3BeCu.

Geometry as extended XYZ:
```
5
Lattice="6.805 0.000 0.000 0.000 6.805 0.000 0.000 0.000 6.805" Properties=species:S:1:pos:R:3 pbc="T T T"
Cs 0.000 3.402 0.000
Cs 0.000 0.000 3.402
Cs 3.402 0.000 0.000
Be 3.402 3.402 3.402
Cu 0.000 0.000 0.000
```

Uncorrected energy, eV/atom: -1.283
Size of the total moment, μB/cell: 1.20
ΔE to the lowest computed polymorph, meV/atom: 0
DFT formation energy, meV/atom: 793
D(E_F), states/eV/f.u.: 6.4
SG: Pm-3m, No. 221